First-principles (PBE) data for crystalline K2CdCuN at its relaxed geometry, as listed in Alexandria via LeMat-Bulk.

Values from the calculation:
**DFT total energy**: -13.4 eV/cell
**Volume**: 27.77 Å³ per atom
**Magnetic moment**: 0.00 μB/f.u.
**DOS at the Fermi energy**: 0.3 states/eV/cell
**Crystal system**: tetragonal
**E_form (uncorrected)**: 0.428 eV per atom
**SG**: P4/mmm (123)

Cell and atoms, written as POSCAR:
```
K2CdCuN
1.0
5.835 0.000 0.000
0.000 4.078 0.000
0.000 0.000 5.835
K N Cu Cd
2 1 1 1
direct
0.000 0.000 0.500
0.500 0.000 0.000
0.000 0.000 0.000
0.500 0.500 0.500
0.000 0.500 0.000
```

First-principles (PBE) data for crystalline PmAsRhO5 at its relaxed geometry, as listed in Alexandria via LeMat-Bulk.

Values from the calculation:
**DFT total energy**: -108.0 eV/cell
**Volume**: 15.17 Å³ per atom
**Magnetic moment**: 1.01 μB/f.u.
**DOS at the Fermi energy**: 2.9 states/eV/cell
**Crystal system**: monoclinic
**E_form (uncorrected)**: -1.559 eV per atom
**SG**: C2/c (15)

Cell and atoms, written as POSCAR:
```
PmAsRhO5
1.0
-1.182 1.753 5.211
-1.425 -5.424 -0.413
8.601 -0.474 0.234
Pm As Rh O
2 2 2 10
direct
0.000 0.000 0.500
0.000 0.000 0.000
0.680 0.320 0.250
0.320 0.680 0.750
0.312 0.688 0.250
0.688 0.312 0.750
0.104 0.896 0.250
0.896 0.104 0.750
0.969 0.357 0.193
0.031 0.643 0.807
0.643 0.031 0.307
0.357 0.969 0.693
0.702 0.569 0.409
0.298 0.431 0.591
0.431 0.298 0.091
0.569 0.702 0.909
```

First-principles (PBE) data for crystalline VAgSn3 at its relaxed geometry, as listed in Alexandria via LeMat-Bulk.

Values from the calculation:
**DFT total energy**: -22.1 eV/cell
**Volume**: 27.23 Å³ per atom
**Magnetic moment**: 0.72 μB/f.u.
**DOS at the Fermi energy**: 4.3 states/eV/cell
**Energy relative to the lowest polymorph listed for this composition**: 0 meV/atom
**Energy relative to the elements**: 0.37 eV/atom
**Crystal system**: cubic
**SG**: Pm-3m (221)

Cell and atoms, written as POSCAR:
```
VAgSn3
1.0
-1.414 -1.299 -4.773
-0.104 -4.955 1.379
-4.945 0.475 1.336
Sn Ag V
3 1 1
direct
0.000 0.500 0.000
0.000 0.000 0.500
0.500 0.000 0.000
0.500 0.500 0.500
0.000 0.000 0.000
```

First-principles (PBE) data for crystalline Zn2SiW at its relaxed geometry, as listed in Alexandria via LeMat-Bulk.

Values from the calculation:
**DFT total energy**: -20.0 eV/cell
**Volume**: 14.87 Å³ per atom
**Magnetic moment**: 0.00 μB/f.u.
**DOS at the Fermi energy**: 1.6 states/eV/cell
**Crystal system**: orthorhombic
**E_form (uncorrected)**: 0.238 eV per atom
**SG**: Cmmm (65)

Cell and atoms, written as POSCAR:
```
Zn2SiW
1.0
-2.846 -3.872 -0.846
1.452 0.720 4.603
-2.276 1.569 0.472
Si W Zn
1 1 2
direct
0.500 0.000 0.500
0.000 0.500 0.500
0.000 0.000 0.000
0.500 0.500 0.000
```

First-principles (PBE) data for crystalline YAg2W at its relaxed geometry, as listed in Alexandria via LeMat-Bulk.

Values from the calculation:
**DFT total energy**: -23.1 eV/cell
**Volume**: 19.73 Å³ per atom
**Magnetic moment**: 0.00 μB/f.u.
**DOS at the Fermi energy**: 2.7 states/eV/cell
**Energy relative to the lowest polymorph listed for this composition**: 139 meV/atom
**Energy relative to the elements**: 0.49 eV/atom
**Crystal system**: monoclinic
**SG**: C2/m (12)

Cell and atoms, written as POSCAR:
```
YAg2W
1.0
5.415 0.000 0.027
4.629 2.810 0.027
0.839 0.235 5.190
Ag W Y
2 1 1
direct
0.989 0.989 0.020
0.511 0.511 0.480
0.250 0.250 0.250
0.750 0.750 0.750
```

First-principles (PBE) data for crystalline FeRu2Pt at its relaxed geometry, as listed in Alexandria via LeMat-Bulk.

Values from the calculation:
**DFT total energy**: -32.7 eV/cell
**Volume**: 13.86 Å³ per atom
**Magnetic moment**: 2.09 μB/f.u.
**DOS at the Fermi energy**: 5.6 states/eV/cell
**Energy relative to the elements**: 0.08 eV/atom
**Crystal system**: orthorhombic
**SG**: Pmmm (47)

Cell and atoms, written as POSCAR:
```
FeRu2Pt
1.0
-2.291 0.170 1.419
0.681 -3.406 1.507
2.700 2.344 4.079
Fe Pt Ru
1 1 2
direct
0.500 0.500 0.250
0.500 0.500 0.750
0.000 0.000 0.018
0.000 0.000 0.482
```

First-principles (PBE) data for crystalline InAs2Pb at its relaxed geometry, as listed in Alexandria via LeMat-Bulk.

Values from the calculation:
**DFT total energy**: -15.4 eV/cell
**Volume**: 25.29 Å³ per atom
**Magnetic moment**: 0.00 μB/f.u.
**DOS at the Fermi energy**: 2.2 states/eV/cell
**Energy relative to the lowest polymorph listed for this composition**: 97 meV/atom
**Energy relative to the elements**: 0.09 eV/atom
**Crystal system**: orthorhombic
**SG**: Imm2 (44)

Cell and atoms, written as POSCAR:
```
InAs2Pb
1.0
6.162 0.030 -0.038
2.817 5.480 0.038
-3.898 -3.719 2.990
Pb As In
1 2 1
direct
0.762 0.262 0.500
0.044 0.044 0.000
0.216 0.716 0.500
0.478 0.478 0.000
```

First-principles (PBE) data for crystalline Zr2TaTlTe at its relaxed geometry, as listed in Alexandria via LeMat-Bulk.

Values from the calculation:
**DFT total energy**: -27.7 eV/cell
**Volume**: 30.00 Å³ per atom
**Magnetic moment**: 0.00 μB/f.u.
**DOS at the Fermi energy**: 2.2 states/eV/cell
**Crystal system**: tetragonal
**E_form (uncorrected)**: 1.357 eV per atom
**SG**: P4/mmm (123)

Cell and atoms, written as POSCAR:
```
Zr2TaTlTe
1.0
5.217 0.000 0.000
0.000 5.512 0.000
0.000 0.000 5.217
Tl Te Zr Ta
1 1 2 1
direct
0.000 0.500 0.000
0.000 0.000 0.000
0.000 0.000 0.500
0.500 0.000 0.000
0.500 0.500 0.500
```

First-principles (PBE) data for crystalline MgFe2As at its relaxed geometry, as listed in Alexandria via LeMat-Bulk.

Values from the calculation:
**DFT total energy**: -22.9 eV/cell
**Volume**: 13.95 Å³ per atom
**Magnetic moment**: 4.30 μB/f.u.
**DOS at the Fermi energy**: 2.9 states/eV/cell
**Energy relative to the elements**: 0.06 eV/atom
**Crystal system**: orthorhombic
**SG**: Imm2 (44)

Cell and atoms, written as POSCAR:
```
MgFe2As
1.0
-4.230 1.372 -1.873
-3.785 -2.149 2.082
3.823 2.661 1.260
As Fe Mg
1 2 1
direct
0.232 0.732 0.500
0.998 0.998 0.000
0.769 0.269 0.500
0.501 0.501 0.000
```

First-principles (PBE) data for crystalline MnFe2CoN at its relaxed geometry, as listed in Alexandria via LeMat-Bulk.

Values from the calculation:
**DFT total energy**: -41.5 eV/cell
**Volume**: 10.41 Å³ per atom
**Magnetic moment**: 5.70 μB/f.u.
**DOS at the Fermi energy**: 4.7 states/eV/cell
**Energy relative to the lowest polymorph listed for this composition**: 41 meV/atom
**Crystal system**: tetragonal
**E_form (uncorrected)**: 0.003 eV per atom
**SG**: P4/mmm (123)

Cell and atoms, written as POSCAR:
```
MnFe2CoN
1.0
-0.722 -1.486 -3.334
3.647 -0.144 -0.725
0.162 -3.444 1.500
Mn Co Fe N
1 1 2 1
direct
0.500 0.500 0.500
0.000 0.000 0.500
0.000 0.500 0.000
0.500 0.000 0.000
0.000 0.000 0.000
```

First-principles (PBE) data for crystalline K3CuCl6 at its relaxed geometry, as listed in Alexandria via LeMat-Bulk.

Values from the calculation:
**DFT total energy**: -62.5 eV/cell
**Volume**: 28.85 Å³ per atom
**Magnetic moment**: 1.85 μB/f.u.
**Crystal system**: monoclinic
**E_form (uncorrected)**: -1.279 eV per atom
**SG**: P2_1/c (14)

Cell and atoms, written as POSCAR:
```
K3CuCl6
1.0
7.274 0.000 -0.076
0.000 7.629 0.000
-0.025 0.000 10.397
K Cu Cl
6 2 12
direct
0.524 0.928 0.747
0.500 0.500 0.000
0.476 0.072 0.253
0.024 0.572 0.247
0.000 0.000 0.500
0.976 0.428 0.753
0.500 0.500 0.500
0.000 0.000 0.000
0.736 0.169 0.950
0.662 0.235 0.560
0.605 0.467 0.287
0.395 0.533 0.713
0.338 0.765 0.440
0.264 0.831 0.050
0.236 0.331 0.450
0.162 0.265 0.060
0.105 0.033 0.787
0.895 0.967 0.213
0.838 0.735 0.940
0.764 0.669 0.550
```

First-principles (PBE) data for crystalline Dy2Sc2Cd3 at its relaxed geometry, as listed in Alexandria via LeMat-Bulk.

Values from the calculation:
**DFT total energy**: -25.6 eV/cell
**Volume**: 24.39 Å³ per atom
**Magnetic moment**: 0.19 μB/f.u.
**DOS at the Fermi energy**: 6.7 states/eV/cell
**Energy relative to the elements**: -0.14 eV/atom
**Crystal system**: orthorhombic
**SG**: Cmmm (65)

Cell and atoms, written as POSCAR:
```
Dy2Sc2Cd3
1.0
-0.821 -4.434 -0.829
3.070 -0.396 -0.923
2.521 -4.788 10.436
Dy Sc Cd
2 2 3
direct
0.574 0.500 0.852
0.426 0.500 0.148
0.709 0.500 0.583
0.291 0.500 0.417
0.844 0.000 0.312
0.000 0.000 0.000
0.156 0.000 0.688
```